Density functional theory data (SCAN) for a PBEsol-optimized structure of NbTlSN2.

Calculated values
ΔE_f (raw)   1.7654 eV per atom
Energy relative to the lowest polymorph listed for this composition   1.710 eV per atom
Total magnetization   0.4 μB per cell
Density   6.9 g/cm³

Structure (POSCAR):
```
NbTlSN2
1.0
4.0878 0.0000 0.0000
0.0000 4.0878 0.0000
0.0000 0.0000 5.1482
Nb Tl S N
1 1 1 2
Direct
0.0000 0.0000 0.0000
0.5000 0.5000 0.5000
0.5000 0.5000 0.0000
0.0000 0.5000 0.5000
0.5000 0.0000 0.5000
```